# 1
Here is a geometry-optimized K2RbNa structure from Alexandria via LeMat-Bulk. Energies are from PBE.

* formation energy from the elements: 0.018 eV per atom
* space-group type: No. 123
* total energy: -1.103 eV/atom

```
K2RbNa
1.0
4.981 0.000 0.000
0.000 4.981 0.000
0.000 0.000 10.768
K Rb Na
2 1 1
Cartesian
0.000 0.000 2.198
0.000 0.000 8.569
2.490 2.490 5.384
2.490 2.490 0.000
```

---

# 2
Here is a geometry-optimized Sm4Dy15In structure from Alexandria via LeMat-Bulk. Energies are from PBE.

* formation energy from the elements: -0.032 eV per atom
* space-group type: No. 123
* total energy: -4.564 eV/atom

```
Sm4Dy15In
1.0
4.982 0.000 0.000
0.000 4.982 0.000
0.000 0.000 25.220
Sm Dy In
4 15 1
Cartesian
0.000 0.000 2.544
0.000 0.000 7.623
0.000 0.000 17.597
0.000 0.000 22.676
0.000 2.491 0.000
0.000 2.491 5.091
0.000 2.491 10.189
0.000 2.491 15.032
0.000 2.491 20.130
2.491 0.000 0.000
2.491 0.000 5.091
2.491 0.000 10.189
2.491 0.000 15.032
2.491 0.000 20.130
2.491 2.491 2.560
2.491 2.491 7.689
2.491 2.491 12.610
2.491 2.491 17.531
2.491 2.491 22.661
0.000 0.000 12.610
```

---

# 3
Here is a geometry-optimized Sc3ZnNi8 structure from Alexandria via LeMat-Bulk. Energies are from PBE.

* formation energy from the elements: -0.470 eV per atom
* space-group type: No. 160
* total energy: -6.013 eV/atom

```
Sc3ZnNi8
1.0
2.418 1.396 7.921
-2.418 1.396 7.921
0.000 -2.792 7.921
Sc Zn Ni
3 1 8
Cartesian
0.000 0.000 0.000
0.000 0.000 3.053
0.000 0.000 14.652
0.000 0.000 11.775
0.000 -1.406 5.409
-1.217 0.703 5.409
-1.206 -0.696 9.371
0.000 0.000 7.394
1.206 -0.696 9.371
0.000 1.392 9.371
1.217 0.703 5.409
0.000 0.000 19.277
```

---

# 4
Here is a geometry-optimized Ac8CuRu2 structure from Alexandria via LeMat-Bulk. Energies are from PBE.

* formation energy from the elements: -0.081 eV per atom
* space-group type: No. 12
* total energy: -5.128 eV/atom

```
Ac8CuRu2
1.0
7.193 -4.338 0.000
7.193 4.338 0.000
-1.943 0.000 6.908
Ac Cu Ru
8 1 2
Cartesian
1.083 0.000 1.781
4.754 2.049 1.601
3.817 0.000 5.177
7.689 2.049 5.308
4.754 -2.049 1.601
8.626 0.000 1.732
7.689 -2.049 5.308
11.361 0.000 5.127
6.222 0.000 3.454
1.395 0.000 6.901
11.048 0.000 0.007
```

---

# 5
Here is a geometry-optimized Y2Ag2As structure from Alexandria via LeMat-Bulk. Energies are from PBE.

* formation energy from the elements: -0.362 eV per atom
* space-group type: No. 127
* total energy: -5.018 eV/atom

```
Y2Ag2As
1.0
7.688 0.000 0.000
0.000 7.688 0.000
0.000 0.000 4.323
Y Ag As
4 4 2
Cartesian
1.323 2.522 0.000
2.522 6.366 0.000
5.167 1.323 0.000
6.366 5.167 0.000
0.984 4.829 2.162
2.860 0.984 2.162
4.829 6.704 2.162
6.704 2.860 2.162
0.000 0.000 0.000
3.844 3.844 0.000
```

---

# 6
Here is a geometry-optimized KVSi2 structure from Alexandria via LeMat-Bulk. Energies are from PBE.

* energy relative to the elements, uncorrected: 0.760 eV per atom
* space-group type: No. 225
* total energy: -4.506 eV/atom

```
KVSi2
1.0
0.000 3.362 3.362
3.362 0.000 3.362
3.362 3.362 0.000
K V Si
1 1 2
Cartesian
0.000 0.000 0.000
3.362 3.362 3.362
1.681 1.681 1.681
5.043 5.043 5.043
```

---

# 7
Here is a geometry-optimized Ac2Pm3NdS6 structure from Alexandria via LeMat-Bulk. Energies are from PBE.

* energy relative to the elements, uncorrected: -2.010 eV per atom
* space-group type: No. 12
* total energy: -6.343 eV/atom

```
Ac2Pm3NdS6
1.0
9.017 -2.051 0.000
9.017 2.051 0.000
-1.993 0.000 8.091
Ac Pm Nd S
2 3 1 6
Cartesian
2.315 0.000 2.675
13.725 0.000 5.416
1.344 0.000 6.753
8.020 0.000 4.045
14.696 0.000 1.338
9.017 0.000 0.000
-1.407 0.000 6.066
4.153 0.000 7.515
5.266 0.000 3.289
10.774 0.000 4.802
11.887 0.000 0.575
17.447 0.000 2.025
```

---

# 8
Here is a geometry-optimized Pa6SbTe12 structure from Alexandria via LeMat-Bulk. Energies are from PBE.

* energy relative to the elements, uncorrected: -0.555 eV per atom
* space-group type: No. 166
* total energy: -5.755 eV/atom

```
Pa6SbTe12
1.0
7.086 4.091 3.728
-7.086 4.091 3.728
0.000 -8.183 3.728
Pa Sb Te
6 1 12
Cartesian
0.000 -3.446 4.461
-2.984 1.723 4.461
-2.984 -1.723 6.723
2.984 1.723 4.461
2.984 -1.723 6.723
0.000 3.446 6.723
0.000 0.000 0.000
-2.663 -4.613 5.592
-5.327 0.000 5.592
-1.862 -1.075 3.942
1.862 -1.075 3.942
0.000 2.150 3.942
2.663 -4.613 5.592
-2.663 4.613 5.592
0.000 -2.150 7.242
-1.862 1.075 7.242
1.862 1.075 7.242
5.327 0.000 5.592
2.663 4.613 5.592
```

---

# 9
Here is a geometry-optimized AcNdAu2 structure from Alexandria via LeMat-Bulk. Energies are from PBE.

* formation energy from the elements: -0.695 eV per atom
* space-group type: No. 166
* total energy: -4.552 eV/atom

```
AcNdAu2
1.0
2.144 1.238 7.796
-2.144 1.238 7.796
0.000 -2.476 7.796
Ac Nd Au
1 1 2
Cartesian
0.000 0.000 0.000
0.000 0.000 11.694
0.000 0.000 5.741
0.000 0.000 17.646
```

---

# 10
Here is a geometry-optimized LuZrAg structure from Alexandria via LeMat-Bulk. Energies are from PBE.

* formation energy from the elements: -0.108 eV per atom
* space-group type: No. 107
* total energy: -5.415 eV/atom

```
LuZrAg
1.0
-1.666 1.666 6.200
1.666 -1.666 6.200
1.666 1.666 -6.200
Lu Zr Ag
1 1 1
Cartesian
0.000 0.000 0.000
0.000 0.000 8.422
0.000 0.000 4.150
```

---

# 11
Here is a geometry-optimized PuTc2GeC structure from Alexandria via LeMat-Bulk. Energies are from PBE.

* formation energy from the elements: -0.210 eV per atom
* space-group type: No. 63
* total energy: -9.991 eV/atom

```
PuTc2GeC
1.0
1.755 -5.824 0.000
1.755 5.824 0.000
0.000 0.000 7.785
Pu Tc Ge C
2 4 2 2
Cartesian
1.755 5.417 5.839
1.755 -5.417 1.946
1.755 1.882 4.311
1.755 1.882 7.367
1.755 -1.882 0.418
1.755 -1.882 3.474
1.755 2.944 1.946
1.755 -2.944 5.839
1.755 0.000 0.000
1.755 0.000 3.893
```

---

# 12
Here is a geometry-optimized Ag2IF structure from Alexandria via LeMat-Bulk. Energies are from PBE.

* energy relative to the elements, uncorrected: -0.470 eV per atom
* space-group type: No. 225
* total energy: -2.751 eV/atom

```
Ag2IF
1.0
0.000 3.429 3.429
3.429 0.000 3.429
3.429 3.429 0.000
Ag I F
2 1 1
Cartesian
1.714 1.714 1.714
5.143 5.143 5.143
0.000 0.000 0.000
3.429 3.429 3.429
```

---

# 13
Here is a geometry-optimized HoPaTcAu structure from Alexandria via LeMat-Bulk. Energies are from PBE.

* formation energy from the elements: -0.237 eV per atom
* space-group type: No. 216
* total energy: -7.166 eV/atom

```
HoPaTcAu
1.0
0.000 3.512 3.512
3.512 0.000 3.512
3.512 3.512 0.000
Ho Pa Tc Au
1 1 1 1
Cartesian
0.000 0.000 0.000
3.512 3.512 3.512
1.756 1.756 1.756
5.268 5.268 5.268
```

---

# 14
Here is a geometry-optimized Tb4PmPr5 structure from Alexandria via LeMat-Bulk. Energies are from PBE.

* formation energy from the elements: 0.014 eV per atom
* space-group type: No. 12
* total energy: -4.703 eV/atom

```
Tb4PmPr5
1.0
9.456 -1.827 0.000
9.456 1.827 0.000
-2.878 0.000 9.904
Tb Pm Pr
4 1 5
Cartesian
1.053 0.000 2.940
3.087 0.000 8.914
12.948 0.000 0.990
14.982 0.000 6.965
9.456 0.000 0.000
-0.414 0.000 7.963
4.517 0.000 3.959
8.018 0.000 4.952
11.518 0.000 5.945
16.449 0.000 1.941
```